a | The following is a DFT calculation (GGA-PBE) of P3CI after structural relaxation.

abc: 5.1776 5.1776 5.1776
angles: 90.00 90.00 90.00
Fractional positions:
P: 0.0000 0.0000 0.5000
P: 0.0000 0.5000 0.0000
P: 0.5000 0.0000 0.0000
I: 0.0000 0.0000 0.0000
C: 0.5000 0.5000 0.5000

## Properties
As for the space-group type: Pm-3m, No. 221.

=====

b | The following is a DFT calculation (GGA-PBE) of P3CI after structural relaxation.

abc: 4.2940 4.2940 4.2940
angles: 90.00 90.00 90.00
Fractional positions:
C: 0.0000 0.0000 0.0000
P: 0.5000 0.0000 0.0000
P: 0.0000 0.0000 0.5000
P: 0.0000 0.5000 0.0000
I: 0.5000 0.5000 0.5000

## Properties
As for the space-group type: Pm-3m, No. 221.

=====

Most stable: b. Least stable: a.

=====

a | The following is a DFT calculation (GGA-PBE) of PbCI after structural relaxation.

abc: 4.1988 4.5230 11.8995
angles: 99.10 91.00 117.66
Fractional positions:
I: 0.3897 0.3116 0.1758
C: 0.4285 0.3558 0.5150
C: 0.5715 0.6442 0.4850
I: 0.6103 0.6884 0.8242
Pb: 0.8625 0.2103 0.6474
Pb: 0.1375 0.7897 0.3526

## Properties
As for the space-group type: P-1, No. 2.

=====

b | The following is a DFT calculation (GGA-PBE) of PbCI after structural relaxation.

abc: 4.6637 6.5003 7.8076
angles: 114.53 107.28 89.99
Fractional positions:
C: 0.1350 0.5000 0.9999
C: 0.8650 0.5000 0.0001
Pb: 0.6353 0.6364 0.2724
I: 0.6687 0.1671 0.3335
Pb: 0.3647 0.3636 0.7276
I: 0.3313 0.8329 0.6665

## Properties
As for the space-group type: P-1, No. 2.

=====

Most stable: b. Least stable: a.